[1]
Entry from Alexandria via LeMat-Bulk: a relaxed YTa2Os crystal (PBE-GGA).

Calculated values
Its density is 14.4 g/cm³. For the magnetic moment, the calculation gives 0.00 μB per formula unit. As for the space-group type: P4/mmm, No. 123. The formation energy comes out at 0.30 eV per atom.

Unit cell a=4.802 b=4.802 c=3.203 alpha=90.00 beta=90.00 gamma=90.00
Sites, in units of the cell vectors:
Y 0.000 0.000 0.000
Ta 0.000 0.500 0.500
Ta 0.500 0.000 0.500
Os 0.500 0.500 0.000



[2]
Entry from Alexandria via LeMat-Bulk: a relaxed PaTlPd crystal (PBE-GGA).

Calculated values
Its density is 13.6 g/cm³. For the magnetic moment, the calculation gives 0.33 μB per formula unit. As for the space-group type: P-6m2, No. 187. The formation energy comes out at -0.21 eV per atom.

Unit cell a=4.871 b=4.871 c=3.225 alpha=90.00 beta=90.00 gamma=120.00
Sites, in units of the cell vectors:
Pa 0.000 0.000 0.000
Tl 0.667 0.333 0.500
Pd 0.333 0.667 0.500



[3]
Entry from Alexandria via LeMat-Bulk: a relaxed YAlIn2 crystal (PBE-GGA).

Calculated values
Its density is 5.9 g/cm³. For the magnetic moment, the calculation gives 0.00 μB per formula unit. As for the space-group type: P4mm, No. 99. The formation energy comes out at -0.18 eV per atom.

Unit cell a=3.782 b=3.782 c=6.850 alpha=90.00 beta=90.00 gamma=90.00
Sites, in units of the cell vectors:
Y 0.000 0.000 0.000
Al 0.500 0.500 0.264
In 0.000 0.000 0.472
In 0.500 0.500 0.715



[4]
Entry from Alexandria via LeMat-Bulk: a relaxed Ca3La4Tl4 crystal (PBE-GGA).

Calculated values
Its density is 6.4 g/cm³. For the magnetic moment, the calculation gives 0.00 μB per formula unit. As for the space-group type: Immm, No. 71. The formation energy comes out at -0.21 eV per atom.

Unit cell a=10.228 b=10.228 c=10.228 alpha=153.87 beta=124.40 gamma=62.43
Sites, in units of the cell vectors:
Ca 0.000 0.000 0.000
Ca 0.389 0.889 0.500
Ca 0.611 0.111 0.500
La 0.002 0.335 0.667
La 0.332 0.665 0.667
La 0.668 0.335 0.333
La 0.998 0.665 0.333
Tl 0.260 0.260 0.000
Tl 0.327 0.500 0.827
Tl 0.673 0.500 0.173
Tl 0.740 0.740 0.000



[5]
Entry from Alexandria via LeMat-Bulk: a relaxed KNa3Pb crystal (PBE-GGA).

Calculated values
Its density is 2.8 g/cm³. For the magnetic moment, the calculation gives 0.00 μB per formula unit. As for the space-group type: P2_1, No. 4. The formation energy comes out at -0.12 eV per atom.

Unit cell a=7.103 b=5.693 c=9.875 alpha=90.00 beta=111.02 gamma=90.00
Sites, in units of the cell vectors:
K 0.090 0.000 0.178
K 0.910 0.500 0.822
Na 0.062 0.001 0.591
Na 0.458 0.001 0.915
Na 0.471 0.500 0.410
Na 0.529 0.000 0.590
Na 0.542 0.501 0.085
Na 0.938 0.501 0.409
Pb 0.355 0.501 0.711
Pb 0.645 0.001 0.289